Entry 1:
A geometry-optimized MnRe2Ir structure. Source: Alexandria, functional PBE-GGA.

The structure belongs to space group Cmmm (No. 65); the cell edges are 5.392, 7.725 and 2.701 Å and the angles 90.00°, 90.00° and 90.00°. The distinct sites, in fractional coordinates, are Mn at (0.000, 0.000, 0.000), Re at (0.250, 0.250, 0.500) and Ir at (0.000, 0.500, 0.000).

The value obtained for the excess energy over the best structure of this formula in the dataset is 0.11 eV/f.u. The formation energy comes out at -0.20 eV/f.u. As for the final energy: -0.79251 Ry per atom. The calculation puts the density of states at the Fermi level at 0.734 states/eV/atom.


Entry 2:
A geometry-optimized Mn4ReIr structure. Source: Alexandria, functional PBE-GGA.

The structure belongs to space group F-43m (No. 216); the cell edges are 6.610, 6.610 and 6.610 Å and the angles 90.00°, 90.00° and 90.00°. The distinct sites, in fractional coordinates, are Mn at (0.123, 0.123, 0.377), Re at (0.000, 0.000, 0.000) and Ir at (0.250, 0.250, 0.750).

The formation energy comes out at -0.30 eV/f.u. As for the final energy: -0.71402 Ry per atom. The calculation puts the density of states at the Fermi level at 1.548 states/eV/atom.


Entry 3:
A geometry-optimized MnReIr2 structure. Source: Alexandria, functional PBE-GGA.

The structure belongs to space group R-3m (No. 166, hexagonal axes); the cell edges are 2.7634, 2.7634 and 26.0939 Å and the angles 90.00°, 90.00° and 120.00°. The distinct sites, in fractional coordinates, are Mn at (0.0000, 0.0000, 0.0000), Re at (0.0000, 0.0000, 0.5000) and Ir at (0.0000, 0.0000, 0.2514).

The value obtained for the excess energy over the best structure of this formula in the dataset is 0.60 eV/f.u. The formation energy comes out at -0.22 eV/f.u. As for the final energy: -0.72682 Ry per atom. The calculation puts the density of states at the Fermi level at 1.161 states/eV/atom.


Entry 4:
A geometry-optimized MnReIr2 structure. Source: Alexandria, functional PBE-GGA.

The structure belongs to space group R3m (No. 160, hexagonal axes); the cell edges are 2.7283, 2.7283 and 26.2174 Å and the angles 90.00°, 90.00° and 120.00°. The distinct sites, in fractional coordinates, are Mn at (0.0000, 0.0000, 0.0000), Re at (0.0000, 0.0000, 0.7495), Ir at (0.0000, 0.0000, 0.2555) and Ir at (0.0000, 0.0000, 0.4996).

The value obtained for the excess energy over the best structure of this formula in the dataset is 0.84 eV/f.u. The formation energy comes out at 0.02 eV/f.u. As for the final energy: -0.72251 Ry per atom. The calculation puts the density of states at the Fermi level at 1.088 states/eV/atom.


Entry 5:
A geometry-optimized MnRe2Ir structure. Source: Alexandria, functional PBE-GGA.

The structure belongs to space group P4mm (No. 99); the cell edges are 2.717, 2.717 and 7.604 Å and the angles 90.00°, 90.00° and 90.00°. The distinct sites, in fractional coordinates, are Mn at (0.000, 0.000, 0.000), Re at (0.000, 0.000, 0.502), Re at (0.500, 0.500, 0.232) and Ir at (0.500, 0.500, 0.756).

The value obtained for the excess energy over the best structure of this formula in the dataset is 0.26 eV/f.u. The formation energy comes out at -0.05 eV/f.u. As for the final energy: -0.78974 Ry per atom. The calculation puts the density of states at the Fermi level at 0.997 states/eV/atom.


Entry 6:
A geometry-optimized Mn2ReIr structure. Source: Alexandria, functional PBE-GGA.

The structure belongs to space group R-3m (No. 166, hexagonal axes); the cell edges are 2.6719, 2.6719 and 25.4949 Å and the angles 90.00°, 90.00° and 120.00°. The distinct sites, in fractional coordinates, are Mn at (0.0000, 0.0000, 0.2495), Re at (0.0000, 0.0000, 0.0000) and Ir at (0.0000, 0.0000, 0.5000).

The formation energy comes out at 0.30 eV/f.u. As for the final energy: -0.72302 Ry per atom. The calculation puts the density of states at the Fermi level at 1.339 states/eV/atom.


Entry 7:
A geometry-optimized MnRe2Ir structure. Source: Alexandria, functional PBE-GGA.

The structure belongs to space group Pm (No. 6); the cell edges are 2.699, 4.155 and 5.197 Å and the angles 90.00°, 104.93° and 90.00°. The distinct sites, in fractional coordinates, are Mn at (0.000, 0.000, 0.000), Re at (0.254, 0.000, 0.503), Re at (0.603, 0.500, 0.206) and Ir at (0.869, 0.500, 0.735).

The value obtained for the excess energy over the best structure of this formula in the dataset is 0.21 eV/f.u. The formation energy comes out at -0.10 eV/f.u. As for the final energy: -0.79068 Ry per atom. The calculation puts the density of states at the Fermi level at 1.009 states/eV/atom.


Entry 8:
A geometry-optimized MnReIr2 structure. Source: Alexandria, functional PBE-GGA.

The structure belongs to space group C2/m (No. 12); the cell edges are 9.026, 2.717 and 4.671 Å and the angles 90.00°, 99.60° and 90.00°. The distinct sites, in fractional coordinates, are Mn at (0.000, 0.000, 0.000), Re at (0.000, 0.500, 0.500) and Ir at (0.249, 0.000, 0.751).

The value obtained for the excess energy over the best structure of this formula in the dataset is 0.45 eV/f.u. The formation energy comes out at -0.37 eV/f.u. As for the final energy: -0.72972 Ry per atom. The calculation puts the density of states at the Fermi level at 0.919 states/eV/atom.


Entry 9:
A geometry-optimized Mn2ReIr structure. Source: Alexandria, functional PBE-GGA.

The structure belongs to space group Cmmm (No. 65); the cell edges are 5.333, 7.335 and 2.665 Å and the angles 90.00°, 90.00° and 90.00°. The distinct sites, in fractional coordinates, are Mn at (0.250, 0.250, 0.000), Re at (0.000, 0.000, 0.500) and Ir at (0.000, 0.500, 0.500).

The formation energy comes out at -0.11 eV/f.u. As for the final energy: -0.73055 Ry per atom. The calculation puts the density of states at the Fermi level at 1.106 states/eV/atom.


Entry 10:
A geometry-optimized MnReIr2 structure. Source: Alexandria, functional PBE-GGA.

The structure belongs to space group I-42d (No. 122); the cell edges are 5.307, 5.307 and 11.366 Å and the angles 90.00°, 90.00° and 90.00°. The distinct sites, in fractional coordinates, are Mn at (0.000, 0.000, 0.000), Re at (0.000, 0.000, 0.500) and Ir at (0.228, 0.250, 0.125).

The value obtained for the excess energy over the best structure of this formula in the dataset is 4.74 eV/f.u. The formation energy comes out at 3.92 eV/f.u. As for the final energy: -0.65089 Ry per atom. The calculation puts the density of states at the Fermi level at 1.331 states/eV/atom.